Compound: Rb2Tl3In
Source: Alexandria via LeMat-Bulk
Functional: PBE
Structure: relaxed

Unit cell a=8.2715 b=8.7290 c=7.9373 alpha=103.13 beta=90.00 gamma=118.28
Last column: nearest neighbours and their distance in Å.
Fractional positions:
Tl (0.2329, 0.0000, 0.2500)  4 Tl 3.30, 1 In 3.55
Tl (0.8785, 0.7570, 0.4393)  2 In 3.14, 2 Tl 3.30
Tl (0.7671, 0.0000, 0.7500)  4 Tl 3.30, 1 In 3.55
Tl (0.1214, 0.2430, 0.0607)  2 In 3.14, 2 Tl 3.30
Tl (0.8786, 0.7570, 0.9393)  2 In 3.14, 2 Tl 3.30
Tl (0.1215, 0.2430, 0.5607)  2 In 3.14, 2 Tl 3.30
In (0.1964, 0.0000, 0.7500)  4 Tl 3.14
In (0.8036, 0.0000, 0.2500)  4 Tl 3.14
Rb (0.6601, 0.3192, 0.5797)  6 Tl 3.80-4.18, 2 Rb 3.97, 2 In 3.98-3.99
Rb (0.6591, 0.3192, 0.0797)  6 Tl 3.80-4.18, 2 Rb 3.97, 2 In 3.98-3.99
Rb (0.3399, 0.6808, 0.4203)  6 Tl 3.80-4.18, 2 Rb 3.97, 2 In 3.98-3.99
Rb (0.3409, 0.6808, 0.9203)  6 Tl 3.80-4.18, 2 Rb 3.97, 2 In 3.98-3.99

Values from the calculation:
Energy of formation from the pure elements: -0.0844 eV/atom

Compound: Na3LaFe
Source: Alexandria via LeMat-Bulk
Functional: PBE
Structure: relaxed

Unit cell a=5.3910 b=5.3910 c=5.3910 alpha=90.00 beta=90.00 gamma=90.00
Last column: nearest neighbours and their distance in Å.
Fractional positions:
La (0.5000, 0.5000, 0.5000)  12 Na 3.81
Na (0.5000, 0.0000, 0.0000)  2 Fe 2.70
Na (0.0000, 0.0000, 0.5000)  2 Fe 2.70
Na (0.0000, 0.5000, 0.0000)  2 Fe 2.70
Fe (0.0000, 0.0000, 0.0000)  6 Na 2.70

Values from the calculation:
Energy of formation from the pure elements: 0.8510 eV/atom

Compound: Ba2CdSnSe4
Source: Alexandria via LeMat-Bulk
Functional: PBE
Structure: relaxed

Unit cell a=8.9285 b=8.9285 c=8.8526 alpha=119.72 beta=119.72 gamma=90.30
Last column: nearest neighbours and their distance in Å.
Fractional positions:
Cd (0.5000, 0.5000, 0.5000)  6 Se 2.99-3.04
Cd (0.0000, 0.0000, 0.0000)  6 Se 2.99-3.04
Ba (0.5000, 0.0000, 0.5000)  6 Se 3.24-3.27
Ba (0.5000, 0.5000, 0.0000)  6 Se 3.30-3.32
Ba (0.5000, 0.0000, 0.0000)  6 Se 3.24-3.27
Ba (0.0000, 0.0000, 0.5000)  6 Se 3.30-3.32
Se (0.7531, 0.2739, 0.5135)  1 Cd 3.04, 2 Sn 3.07, 3 Ba 3.24-3.30
Se (0.7578, 0.7425, 0.5262)  2 Cd 2.99, 1 Sn 3.08, 3 Ba 3.27-3.32
Se (0.2422, 0.2576, 0.4738)  2 Cd 2.99, 1 Sn 3.08, 3 Ba 3.27-3.32
Se (0.7739, 0.2531, 0.0135)  1 Cd 3.04, 2 Sn 3.07, 3 Ba 3.24-3.30
Se (0.2424, 0.2578, 0.0262)  2 Cd 2.99, 1 Sn 3.08, 3 Ba 3.27-3.32
Se (0.7575, 0.7422, 0.9738)  2 Cd 2.99, 1 Sn 3.08, 3 Ba 3.27-3.32
Se (0.2261, 0.7469, 0.9865)  1 Cd 3.04, 2 Sn 3.07, 3 Ba 3.24-3.30
Se (0.2469, 0.7261, 0.4865)  1 Cd 3.04, 2 Sn 3.07, 3 Ba 3.24-3.30
Sn (0.0000, 0.5000, 0.5000)  6 Se 3.07-3.08
Sn (0.0000, 0.5000, 0.0000)  6 Se 3.07-3.08

Values from the calculation:
Formation energy without anion corrections: -1.18 eV/atom

Compound: MgAs2Pb
Source: Alexandria via LeMat-Bulk
Functional: PBE
Structure: relaxed

Unit cell a=4.9252 b=4.9252 c=3.9424 alpha=90.00 beta=90.00 gamma=105.58
Last column: nearest neighbours and their distance in Å.
Fractional positions:
As (0.0000, 0.0000, 0.0000)  2 As 2.98, 4 Mg 3.15, 4 Pb 3.15
As (0.5000, 0.5000, 0.0000)  2 As 2.98, 4 Pb 3.15, 4 Mg 3.15
Pb (0.0000, 0.5000, 0.5000)  2 Mg 2.98, 8 As 3.15
Mg (0.5000, 0.0000, 0.5000)  2 Pb 2.98, 8 As 3.15

Values from the calculation:
Energy of formation from the pure elements: 0.0210 eV/atom

Compound: NdY6Hg2
Source: Alexandria via LeMat-Bulk
Functional: PBE
Structure: relaxed

Unit cell a=3.7387 b=6.6392 c=11.8190 alpha=75.08 beta=80.90 gamma=73.65
Last column: nearest neighbours and their distance in Å.
Fractional positions:
Y (0.3114, 0.7923, 0.5849)  2 Hg 3.25, 8 Y 3.47-3.59
Y (0.3115, 0.5020, 0.8750)  2 Hg 3.23, 5 Y 3.46-3.57
Y (0.6886, 0.2077, 0.4151)  2 Hg 3.25, 8 Y 3.47-3.59
Y (0.9837, 0.6928, 0.3399)  2 Hg 3.18, 2 Y 3.55
Y (0.6885, 0.4980, 0.1250)  2 Hg 3.23, 5 Y 3.46-3.57
Y (0.0163, 0.3072, 0.6601)  2 Hg 3.18, 2 Y 3.55
Hg (0.6469, 0.9197, 0.7864)  6 Y 3.18-3.25, 2 Nd 3.25
Hg (0.3531, 0.0803, 0.2136)  6 Y 3.18-3.25, 2 Nd 3.25
Nd (0.0000, 0.0000, 0.0000)  4 Hg 3.25

Values from the calculation:
Energy of formation from the pure elements: -0.2121 eV/atom

Compound: CeNd6HoEr2
Source: Alexandria via LeMat-Bulk
Functional: PBE
Structure: relaxed

Unit cell a=8.8403 b=7.0744 c=6.6578 alpha=122.09 beta=101.24 gamma=90.00
Last column: nearest neighbours and their distance in Å.
Fractional positions:
Nd (0.5813, 0.3727, 0.7455)  5 Nd 3.49-3.77, 1 Ce 3.65
Nd (0.2028, 0.5958, 0.6572)  2 Er 3.23-3.48, 1 Nd 3.29, 1 Ho 3.32, 1 Ce 3.48
Nd (0.2028, 0.0614, 0.6572)  2 Er 3.23-3.48, 1 Nd 3.29, 1 Ho 3.32, 1 Ce 3.48
Nd (0.7972, 0.9386, 0.3428)  2 Er 3.23-3.48, 1 Nd 3.29, 1 Ho 3.32, 1 Ce 3.48
Nd (0.4187, 0.6273, 0.2545)  5 Nd 3.49-3.77, 1 Ce 3.65
Nd (0.7972, 0.4042, 0.3428)  2 Er 3.23-3.48, 1 Nd 3.29, 1 Ho 3.32, 1 Ce 3.48
Ho (0.5000, 0.0000, 0.0000)  4 Nd 3.32, 2 Er 3.37
Ce (0.0000, 0.5000, 0.0000)  6 Nd 3.48-3.65, 4 Er 3.87
Er (0.8365, 0.9086, 0.8171)  1 Er 3.14, 4 Nd 3.23-3.48, 1 Ho 3.37
Er (0.1635, 0.0914, 0.1829)  1 Er 3.14, 4 Nd 3.23-3.48, 1 Ho 3.37

Values from the calculation:
Energy of formation from the pure elements: 0.2377 eV/atom

Compound: Y4SiBiSe2
Source: Alexandria via LeMat-Bulk
Functional: PBE
Structure: relaxed

Unit cell a=4.2052 b=7.2614 c=7.3628 alpha=70.59 beta=90.00 gamma=90.00
Last column: nearest neighbours and their distance in Å.
Fractional positions:
Y (0.0000, 0.7515, 0.7307)  1 Si 2.88, 3 Se 2.92-3.09, 2 Bi 3.05
Y (0.5000, 0.7417, 0.2678)  2 Si 2.90, 3 Se 2.93-3.06, 1 Bi 3.04
Y (0.0000, 0.2485, 0.2693)  1 Si 2.88, 3 Se 2.92-3.09, 2 Bi 3.05
Y (0.5000, 0.2583, 0.7322)  2 Si 2.90, 3 Se 2.93-3.06, 1 Bi 3.04
Se (0.0000, 0.0000, 0.0000)  6 Y 3.06-3.09
Se (0.5000, 0.0000, 0.5000)  6 Y 2.92-2.93
Si (0.0000, 0.5000, 0.5000)  6 Y 2.88-2.90
Bi (0.5000, 0.5000, 0.0000)  6 Y 3.04-3.05

Values from the calculation:
Formation energy without anion corrections: -1.32 eV/atom

Compound: Th4In3Tc
Source: Alexandria via LeMat-Bulk
Functional: PBE
Structure: relaxed

Unit cell a=3.5865 b=5.5991 c=11.0864 alpha=90.00 beta=90.00 gamma=90.00
Last column: nearest neighbours and their distance in Å.
Fractional positions:
In (0.5000, 0.0000, 0.2550)  8 Th 3.26-3.36, 2 In 3.59
In (0.5000, 0.0000, 0.7450)  8 Th 3.26-3.36, 2 In 3.59
In (0.5000, 0.5000, 0.5000)  8 Th 3.32-3.68, 2 In 3.59
Tc (0.5000, 0.5000, 0.0000)  4 Th 2.94
Th (0.0000, 0.5000, 0.7894)  2 Tc 2.94
Th (0.0000, 0.5000, 0.2106)  2 Tc 2.94
Th (0.0000, 0.0000, 0.5000)  8 In 3.26-3.32, 2 Th 3.59
Th (0.0000, 0.0000, 0.0000)  4 Tc 3.32, 4 In 3.35, 6 Th 3.59-3.65

Values from the calculation:
Energy of formation from the pure elements: -0.1535 eV/atom

Compound: Ti5Fe6
Source: Alexandria via LeMat-Bulk
Functional: PBE
Structure: relaxed

Unit cell a=4.0971 b=5.8723 c=7.1254 alpha=114.34 beta=106.71 gamma=90.00
Last column: nearest neighbours and their distance in Å.
Fractional positions:
Fe (0.8331, 0.5819, 0.6663)  7 Ti 2.49-2.64
Fe (0.1669, 0.4181, 0.3337)  7 Ti 2.49-2.64
Fe (0.1669, 0.9157, 0.3337)  7 Ti 2.49-2.64
Fe (0.5000, 0.7414, 0.0000)  6 Ti 2.44-2.53
Fe (0.8331, 0.0843, 0.6663)  7 Ti 2.49-2.64
Fe (0.5000, 0.2586, 0.0000)  6 Ti 2.44-2.53
Ti (0.6703, 0.6703, 0.3405)  8 Fe 2.49-2.53
Ti (0.0000, 0.5000, 0.0000)  8 Fe 2.49-2.52
Ti (0.3450, 0.8450, 0.6899)  8 Fe 2.44-2.64
Ti (0.6550, 0.1550, 0.3101)  8 Fe 2.44-2.64
Ti (0.3297, 0.3297, 0.6595)  8 Fe 2.49-2.53

Values from the calculation:
Energy of formation from the pure elements: -0.0771 eV/atom

Compound: Tb8NiBi2
Source: Alexandria via LeMat-Bulk
Functional: PBE
Structure: relaxed

Unit cell a=4.6813 b=7.3669 c=9.7477 alpha=96.55 beta=103.89 gamma=90.00
Last column: nearest neighbours and their distance in Å.
Fractional positions:
Ni (0.5000, 0.0000, 0.0000)  6 Tb 2.57-2.86
Bi (0.1833, 0.7858, 0.3666)  9 Tb 3.21-3.49
Bi (0.8167, 0.2142, 0.6334)  9 Tb 3.21-3.49
Tb (0.3632, 0.9542, 0.7264)  1 Ni 2.57
Tb (0.6368, 0.0458, 0.2736)  1 Ni 2.57
Tb (0.4059, 0.4804, 0.8118)  2 Bi 3.38, 9 Tb 3.53-3.67
Tb (0.0012, 0.2223, 0.0024)  2 Ni 2.86
Tb (0.7871, 0.6495, 0.5742)  3 Bi 3.29-3.32, 7 Tb 3.40-3.67
Tb (0.5941, 0.5196, 0.1882)  2 Bi 3.38, 9 Tb 3.53-3.67
Tb (0.9988, 0.7777, 0.9976)  2 Ni 2.86
Tb (0.2129, 0.3505, 0.4258)  3 Bi 3.29-3.32, 7 Tb 3.40-3.67

Values from the calculation:
Energy of formation from the pure elements: -0.3290 eV/atom

Compound: Pm2NpPaSb4
Source: Alexandria via LeMat-Bulk
Functional: PBE
Structure: relaxed

Unit cell a=4.4274 b=7.6497 c=7.7342 alpha=109.33 beta=90.00 gamma=90.00
Last column: nearest neighbours and their distance in Å.
Fractional positions:
Pm (0.5000, 0.0000, 0.5000)  6 Sb 3.17-3.18
Pm (0.0000, 0.5000, 0.5000)  6 Sb 3.16
Sb (0.5000, 0.2493, 0.2430)  1 Pa 3.10, 2 Np 3.11, 3 Pm 3.16-3.18
Sb (0.5000, 0.7507, 0.7570)  1 Pa 3.10, 2 Np 3.11, 3 Pm 3.16-3.18
Sb (0.0000, 0.7459, 0.2431)  2 Pa 3.10, 1 Np 3.12, 3 Pm 3.16-3.17
Sb (0.0000, 0.2541, 0.7569)  2 Pa 3.10, 1 Np 3.12, 3 Pm 3.16-3.17
Np (0.0000, 0.0000, 0.0000)  6 Sb 3.11-3.12
Pa (0.5000, 0.5000, 0.0000)  6 Sb 3.10

Values from the calculation:
Formation energy without anion corrections: -0.76 eV/atom

Compound: InPbI2
Source: Alexandria via LeMat-Bulk
Functional: PBE
Structure: relaxed

Unit cell a=5.8009 b=5.8009 c=5.8009 alpha=60.00 beta=60.00 gamma=60.00
Last column: nearest neighbours and their distance in Å.
Fractional positions:
I (0.7500, 0.7500, 0.7500)  4 Pb 3.55, 4 In 3.55
I (0.2500, 0.2500, 0.2500)  4 Pb 3.55, 4 In 3.55
In (0.0000, 0.0000, 0.0000)  8 I 3.55
Pb (0.5000, 0.5000, 0.5000)  8 I 3.55

Values from the calculation:
Formation energy without anion corrections: -0.24 eV/atom